5
Lattice="6.873 0.000 0.000 0.000 5.105 0.000 0.000 0.000 6.873" Properties=species:S:1:pos:R:3 comment="CsMgFe2F, optimized geometry, DFT PBE+U" spacegroup="No. 123" e_tot_ev_per_atom=-2.462 pbc="T T T"
Fe 3.437 0.000 0.000
Mg 3.437 2.553 3.437
F 0.000 2.553 0.000
Fe 0.000 0.000 3.437
Cs 0.000 0.000 0.000